(1)
Entry from Alexandria via LeMat-Bulk: an optimized crystal structure of PrNd5Cd4 (PBE).

Density of states at the Fermi level, states/eV per cell: 12.4
Symmetry: P4/mmm (123)
Formation energy from the elements, eV/atom: -0.25

Cell lengths 3.815, 3.815, 20.729 Å; angles 90.00, 90.00, 90.00 degrees
Fractional positions:
Pr 0.000 0.000 0.000
Nd 0.500 0.500 0.122
Nd 0.500 0.500 0.312
Nd 0.500 0.500 0.500
Nd 0.500 0.500 0.688
Nd 0.500 0.500 0.878
Cd 0.000 0.000 0.215
Cd 0.000 0.000 0.405
Cd 0.000 0.000 0.595
Cd 0.000 0.000 0.785

***

(2)
Entry from Alexandria via LeMat-Bulk: an optimized crystal structure of NaTbInSn (PBE).

Density of states at the Fermi level, states/eV per cell: 10.1
Excess energy over the best structure of this formula in the dataset, meV per atom: 77.4
Symmetry: F-43m (216)
Formation energy from the elements, eV/atom: -0.31

Cell lengths 7.523, 7.523, 7.523 Å; angles 90.00, 90.00, 90.00 degrees
Fractional positions:
Na 0.000 0.000 0.000
Na 0.000 0.500 0.500
Na 0.500 0.000 0.500
Na 0.500 0.500 0.000
Tb 0.000 0.000 0.500
Tb 0.000 0.500 0.000
Tb 0.500 0.000 0.000
Tb 0.500 0.500 0.500
In 0.250 0.250 0.250
In 0.250 0.750 0.750
In 0.750 0.250 0.750
In 0.750 0.750 0.250
Sn 0.250 0.250 0.750
Sn 0.250 0.750 0.250
Sn 0.750 0.250 0.250
Sn 0.750 0.750 0.750

***

(3)
Entry from Alexandria via LeMat-Bulk: an optimized crystal structure of Pd4AuO8 (PBE).

Density of states at the Fermi level, states/eV per cell: 4.1
Symmetry: C2/m (12)
Formation energy (no corrections), eV per formula unit: -2.8

Cell lengths 6.300, 6.300, 6.556 Å; angles 117.31, 117.31, 59.07 degrees
Fractional positions:
Pd 0.248 0.752 0.000
Pd 0.258 0.258 0.022
Pd 0.742 0.742 0.978
Pd 0.752 0.248 0.000
Au 0.000 0.000 0.500
O 0.135 0.663 0.197
O 0.139 0.139 0.179
O 0.337 0.865 0.803
O 0.361 0.361 0.838
O 0.639 0.639 0.162
O 0.663 0.135 0.197
O 0.861 0.861 0.821
O 0.865 0.337 0.803

***

(4)
Entry from Alexandria via LeMat-Bulk: an optimized crystal structure of NdZrInAg (PBE).

Density of states at the Fermi level, states/eV per cell: 14.3
Symmetry: F-43m (216)
Formation energy from the elements, eV/atom: -0.16

Cell lengths 7.336, 7.336, 7.336 Å; angles 90.00, 90.00, 90.00 degrees
Fractional positions:
Nd 0.000 0.000 0.000
Nd 0.000 0.500 0.500
Nd 0.500 0.000 0.500
Nd 0.500 0.500 0.000
Zr 0.000 0.000 0.500
Zr 0.000 0.500 0.000
Zr 0.500 0.000 0.000
Zr 0.500 0.500 0.500
In 0.250 0.250 0.750
In 0.250 0.750 0.250
In 0.750 0.250 0.250
In 0.750 0.750 0.750
Ag 0.250 0.250 0.250
Ag 0.250 0.750 0.750
Ag 0.750 0.250 0.750
Ag 0.750 0.750 0.250

***

(5)
Entry from Alexandria via LeMat-Bulk: an optimized crystal structure of Sc4IrRu (PBE).

Density of states at the Fermi level, states/eV per cell: 4.0
Excess energy over the best structure of this formula in the dataset, meV per atom: 48.1
Symmetry: P4/mmm (123)
Formation energy from the elements, eV/atom: -0.53

Cell lengths 4.496, 4.496, 6.358 Å; angles 90.00, 90.00, 90.00 degrees
Fractional positions:
Sc 0.000 0.500 0.248
Sc 0.000 0.500 0.752
Sc 0.500 0.000 0.248
Sc 0.500 0.000 0.752
Ir 0.000 0.000 0.500
Ru 0.500 0.500 0.000

***

(6)
Entry from Alexandria via LeMat-Bulk: an optimized crystal structure of Al4NiBr (PBE).

Density of states at the Fermi level, states/eV per cell: 2.5
Symmetry: F-43m (216)
Formation energy (no corrections), eV per formula unit: 2.3

Cell lengths 5.377, 5.377, 5.377 Å; angles 60.00, 60.00, 60.00 degrees
Fractional positions:
Al 0.123 0.123 0.123
Al 0.123 0.123 0.631
Al 0.123 0.631 0.123
Al 0.631 0.123 0.123
Ni 0.750 0.750 0.750
Br 0.500 0.500 0.500

***

(7)
Entry from Alexandria via LeMat-Bulk: an optimized crystal structure of ScZnPd3 (PBE).

Density of states at the Fermi level, states/eV per cell: 4.4
Excess energy over the best structure of this formula in the dataset, meV per atom: 0.0
Symmetry: Pmmn (59)
Formation energy from the elements, eV/atom: -0.64

Cell lengths 4.373, 5.592, 7.006 Å; angles 90.00, 90.00, 90.00 degrees
Fractional positions:
Sc 0.250 0.250 0.155
Sc 0.750 0.750 0.845
Zn 0.250 0.750 0.435
Zn 0.750 0.250 0.565
Pd 0.250 0.010 0.730
Pd 0.250 0.490 0.730
Pd 0.250 0.750 0.077
Pd 0.750 0.250 0.923
Pd 0.750 0.510 0.270
Pd 0.750 0.990 0.270

***

(8)
Entry from Alexandria via LeMat-Bulk: an optimized crystal structure of Ac2CuPd3 (PBE).

Density of states at the Fermi level, states/eV per cell: 1.1
Excess energy over the best structure of this formula in the dataset, meV per atom: 0.0
Symmetry: Pmm2 (25)
Formation energy from the elements, eV/atom: -0.69

Cell lengths 4.051, 4.520, 7.935 Å; angles 90.00, 90.00, 90.00 degrees
Fractional positions:
Ac 0.000 0.000 0.000
Ac 0.000 0.500 0.486
Cu 0.500 0.500 0.821
Pd 0.500 0.000 0.334
Pd 0.500 0.000 0.677
Pd 0.500 0.500 0.140